# 1
Pr2MoN3 | GGA-PBE | optimized geometry

Cell lengths 7.011, 7.011, 7.011 Å; angles 150.42, 146.76, 45.09 degrees
Fractional positions:
Pr1 0.147 0.147 0.000
Pr2 0.853 0.853 0.000
Mo1 0.500 0.500 0.000
N1 0.000 0.500 0.500
N2 0.342 0.342 0.000
N3 0.658 0.658 0.000

Summary:
polymorph energy (0 for the lowest one)	0	meV/atom
Fermi-level density of states	3.122	states/eV/cell
SG	Immm, No. 71


# 2
PrMoN3 | GGA-PBE | optimized geometry

Cell lengths 7.662, 7.662, 5.129 Å; angles 90.20, 90.20, 93.50 degrees
Fractional positions:
Pr1 0.116 0.336 0.316
Pr2 0.336 0.116 0.816
Pr3 0.664 0.884 0.184
Pr4 0.884 0.664 0.684
Mo1 0.191 0.809 0.250
Mo2 0.421 0.579 0.750
Mo3 0.579 0.421 0.250
Mo4 0.809 0.191 0.750
N1 0.036 0.230 0.861
N2 0.201 0.642 0.530
N3 0.230 0.036 0.361
N4 0.357 0.411 0.025
N5 0.358 0.799 0.970
N6 0.411 0.357 0.525
N7 0.589 0.643 0.475
N8 0.642 0.201 0.030
N9 0.643 0.589 0.975
N10 0.770 0.964 0.639
N11 0.799 0.358 0.470
N12 0.964 0.770 0.139

Summary:
SG	C2/c, No. 15


# 3
Pr3Mo2N6 | GGA-PBE | optimized geometry

Cell lengths 10.280, 10.280, 10.280 Å; angles 157.51, 157.51, 32.02 degrees
Fractional positions:
Pr1 0.000 0.000 0.000
Pr2 0.180 0.180 0.000
Pr3 0.820 0.820 0.000
Mo1 0.401 0.401 0.000
Mo2 0.599 0.599 0.000
N1 0.086 0.586 0.500
N2 0.302 0.302 0.000
N3 0.414 0.914 0.500
N4 0.586 0.086 0.500
N5 0.698 0.698 0.000
N6 0.914 0.414 0.500

Summary:
Fermi-level density of states	4.294	states/eV/cell
SG	I4/mmm, No. 139


# 4
Pr3Mo5N12 | GGA-PBE | optimized geometry

Cell lengths 11.293, 11.293, 11.293 Å; angles 109.47, 109.47, 109.47 degrees
Fractional positions:
Pr1 0.125 0.250 0.375
Pr2 0.125 0.375 0.750
Pr3 0.250 0.375 0.125
Pr4 0.250 0.875 0.625
Pr5 0.375 0.125 0.250
Pr6 0.375 0.750 0.125
Pr7 0.625 0.250 0.875
Pr8 0.625 0.875 0.750
Pr9 0.750 0.125 0.375
Pr10 0.750 0.625 0.875
Pr11 0.875 0.625 0.250
Pr12 0.875 0.750 0.625
Mo1 0.000 0.000 0.000
Mo2 0.000 0.000 0.500
Mo3 0.000 0.500 0.000
Mo4 0.000 0.500 0.500
Mo5 0.125 0.750 0.875
Mo6 0.125 0.875 0.250
Mo7 0.250 0.125 0.875
Mo8 0.250 0.625 0.375
Mo9 0.375 0.250 0.625
Mo10 0.375 0.625 0.750
Mo11 0.500 0.000 0.000
Mo12 0.500 0.000 0.500
Mo13 0.500 0.500 0.000
Mo14 0.500 0.500 0.500
Mo15 0.625 0.375 0.250
Mo16 0.625 0.750 0.375
Mo17 0.750 0.375 0.625
Mo18 0.750 0.875 0.125
Mo19 0.875 0.125 0.750
Mo20 0.875 0.250 0.125
N1 0.012 0.195 0.113
N2 0.012 0.318 0.899
N3 0.081 0.695 0.682
N4 0.081 0.887 0.399
N5 0.101 0.613 0.419
N6 0.101 0.988 0.682
N7 0.113 0.012 0.195
N8 0.113 0.601 0.919
N9 0.182 0.195 0.581
N10 0.182 0.488 0.601
N11 0.195 0.113 0.012
N12 0.195 0.581 0.182
N13 0.305 0.318 0.919
N14 0.305 0.488 0.387
N15 0.318 0.899 0.012
N16 0.318 0.919 0.305
N17 0.387 0.305 0.488
N18 0.387 0.581 0.899
N19 0.399 0.081 0.887
N20 0.399 0.818 0.512
N21 0.419 0.101 0.613
N22 0.419 0.818 0.805
N23 0.488 0.387 0.305
N24 0.488 0.601 0.182
N25 0.512 0.399 0.818
N26 0.512 0.613 0.695
N27 0.581 0.182 0.195
N28 0.581 0.899 0.387
N29 0.601 0.182 0.488
N30 0.601 0.919 0.113
N31 0.613 0.419 0.101
N32 0.613 0.695 0.512
N33 0.682 0.081 0.695
N34 0.682 0.101 0.988
N35 0.695 0.512 0.613
N36 0.695 0.682 0.081
N37 0.805 0.419 0.818
N38 0.805 0.887 0.988
N39 0.818 0.512 0.399
N40 0.818 0.805 0.419
N41 0.887 0.399 0.081
N42 0.887 0.988 0.805
N43 0.899 0.012 0.318
N44 0.899 0.387 0.581
N45 0.919 0.113 0.601
N46 0.919 0.305 0.318
N47 0.988 0.682 0.101
N48 0.988 0.805 0.887

Summary:
Fermi-level density of states	31.380	states/eV/cell
SG	Ia-3d, No. 230


# 5
Pr2MoN4 | GGA-PBE | optimized geometry

Cell lengths 5.963, 5.965, 6.992 Å; angles 90.00, 108.79, 90.00 degrees
Fractional positions:
Pr1 0.184 0.250 0.029
Pr2 0.269 0.250 0.562
Pr3 0.731 0.750 0.438
Pr4 0.816 0.750 0.971
Mo1 0.261 0.750 0.805
Mo2 0.739 0.250 0.195
N1 0.045 0.508 0.744
N2 0.045 0.992 0.744
N3 0.442 0.750 0.075
N4 0.467 0.750 0.652
N5 0.533 0.250 0.348
N6 0.558 0.250 0.925
N7 0.955 0.008 0.256
N8 0.955 0.492 0.256

Summary:
polymorph energy (0 for the lowest one)	0	meV/atom
SG	P2_1/m, No. 11


# 6
Pr3Mo2N7 | GGA-PBE | optimized geometry

Cell lengths 10.734, 10.734, 3.895 Å; angles 90.00, 90.00, 158.26 degrees
Fractional positions:
Pr1 0.000 0.000 0.000
Pr2 0.178 0.822 0.000
Pr3 0.822 0.178 0.000
Mo1 0.400 0.600 0.500
Mo2 0.600 0.400 0.500
N1 0.096 0.904 0.500
N2 0.305 0.695 0.500
N3 0.402 0.598 0.000
N4 0.500 0.500 0.500
N5 0.598 0.402 0.000
N6 0.695 0.305 0.500
N7 0.904 0.096 0.500

Summary:
Fermi-level density of states	2.639	states/eV/cell
SG	Cmmm, No. 65


# 7
Pr2MoN4 | GGA-PBE | optimized geometry

Cell lengths 6.938, 6.938, 6.938 Å; angles 146.76, 146.76, 47.71 degrees
Fractional positions:
Pr1 0.145 0.145 0.000
Pr2 0.855 0.855 0.000
Mo1 0.500 0.500 0.000
N1 0.000 0.500 0.500
N2 0.335 0.335 0.000
N3 0.500 0.000 0.500
N4 0.665 0.665 0.000

Summary:
polymorph energy (0 for the lowest one)	49	meV/atom
Fermi-level density of states	1.339	states/eV/cell
SG	I4/mmm, No. 139


# 8
Pr2Mo2N5 | GGA-PBE | optimized geometry

Cell lengths 6.102, 6.102, 6.084 Å; angles 106.26, 106.26, 37.91 degrees
Fractional positions:
Pr1 0.112 0.112 0.307
Pr2 0.888 0.888 0.693
Mo1 0.358 0.358 0.140
Mo2 0.642 0.642 0.860
N1 0.178 0.178 0.960
N2 0.347 0.347 0.439
N3 0.500 0.500 0.000
N4 0.653 0.653 0.561
N5 0.822 0.822 0.040

Summary:
Fermi-level density of states	3.514	states/eV/cell
SG	C2/m, No. 12


# 9
PrPuMoN3 | GGA-PBE | optimized geometry

Cell lengths 7.412, 3.387, 7.855 Å; angles 90.00, 98.32, 90.00 degrees
Fractional positions:
Pr1 0.163 0.250 0.186
Pr2 0.837 0.750 0.814
Pu1 0.359 0.750 0.843
Pu2 0.641 0.250 0.157
Mo1 0.107 0.250 0.584
Mo2 0.893 0.750 0.416
N1 0.126 0.250 0.849
N2 0.178 0.750 0.435
N3 0.423 0.750 0.120
N4 0.577 0.250 0.880
N5 0.822 0.250 0.565
N6 0.874 0.750 0.151

Summary:
Fermi-level density of states	13.010	states/eV/cell
SG	P2_1/m, No. 11


# 10
Pr2PuMoN5 | GGA-PBE | optimized geometry

Cell lengths 7.208, 7.208, 10.556 Å; angles 90.00, 90.00, 151.59 degrees
Fractional positions:
Pr1 0.109 0.891 0.500
Pr2 0.144 0.856 0.123
Pr3 0.856 0.144 0.623
Pr4 0.891 0.109 0.000
Pu1 0.207 0.793 0.829
Pu2 0.793 0.207 0.329
Mo1 0.477 0.523 0.273
Mo2 0.523 0.477 0.773
N1 0.040 0.960 0.853
N2 0.283 0.717 0.468
N3 0.322 0.678 0.203
N4 0.370 0.630 0.821
N5 0.489 0.511 0.603
N6 0.511 0.489 0.103
N7 0.630 0.370 0.321
N8 0.678 0.322 0.703
N9 0.717 0.283 0.968
N10 0.960 0.040 0.353

Summary:
Fermi-level density of states	13.285	states/eV/cell
SG	Cmc2_1, No. 36


# 11
Pr2PuMoN4 | GGA-PBE | optimized geometry

Cell lengths 6.284, 6.284, 12.554 Å; angles 90.00, 90.00, 148.12 degrees
Fractional positions:
Pr1 0.131 0.869 0.541
Pr2 0.131 0.869 0.959
Pr3 0.869 0.131 0.041
Pr4 0.869 0.131 0.459
Pu1 0.414 0.586 0.750
Pu2 0.586 0.414 0.250
Mo1 0.326 0.674 0.250
Mo2 0.674 0.326 0.750
N1 0.061 0.939 0.750
N2 0.227 0.773 0.134
N3 0.227 0.773 0.366
N4 0.500 0.500 0.000
N5 0.500 0.500 0.500
N6 0.773 0.227 0.634
N7 0.773 0.227 0.866
N8 0.939 0.061 0.250

Summary:
Fermi-level density of states	14.824	states/eV/cell
SG	Cmcm, No. 63


# 12
PrPu2MoN4 | GGA-PBE | optimized geometry

Cell lengths 6.172, 6.172, 11.756 Å; angles 90.00, 90.00, 147.54 degrees
Fractional positions:
Pr1 0.105 0.895 0.750
Pr2 0.895 0.105 0.250
Pu1 0.369 0.631 0.545
Pu2 0.369 0.631 0.955
Pu3 0.631 0.369 0.045
Pu4 0.631 0.369 0.455
Mo1 0.155 0.845 0.250
Mo2 0.845 0.155 0.750
N1 0.000 0.000 0.000
N2 0.000 0.000 0.500
N3 0.262 0.738 0.119
N4 0.262 0.738 0.381
N5 0.448 0.552 0.750
N6 0.552 0.448 0.250
N7 0.738 0.262 0.619
N8 0.738 0.262 0.881

Summary:
Fermi-level density of states	20.435	states/eV/cell
SG	Cmcm, No. 63


# 13
PrSmMoN3 | GGA-PBE | optimized geometry

Cell lengths 7.515, 3.573, 8.366 Å; angles 90.00, 99.22, 90.00 degrees
Fractional positions:
Pr1 0.176 0.250 0.148
Pr2 0.824 0.750 0.852
Sm1 0.364 0.750 0.842
Sm2 0.636 0.250 0.158
Mo1 0.063 0.250 0.615
Mo2 0.937 0.750 0.385
N1 0.110 0.250 0.854
N2 0.164 0.750 0.563
N3 0.399 0.750 0.130
N4 0.601 0.250 0.870
N5 0.836 0.250 0.437
N6 0.890 0.750 0.146

Summary:
Fermi-level density of states	4.158	states/eV/cell
SG	P2_1/m, No. 11


# 14
PrSm2MoN4 | GGA-PBE | optimized geometry

Cell lengths 6.273, 6.273, 12.148 Å; angles 90.00, 90.00, 147.57 degrees
Fractional positions:
Pr1 0.092 0.908 0.750
Pr2 0.908 0.092 0.250
Sm1 0.370 0.630 0.540
Sm2 0.370 0.630 0.960
Sm3 0.630 0.370 0.040
Sm4 0.630 0.370 0.460
Mo1 0.166 0.834 0.250
Mo2 0.834 0.166 0.750
N1 0.000 0.000 0.000
N2 0.000 0.000 0.500
N3 0.265 0.735 0.127
N4 0.265 0.735 0.373
N5 0.433 0.567 0.750
N6 0.567 0.433 0.250
N7 0.735 0.265 0.627
N8 0.735 0.265 0.873

Summary:
Fermi-level density of states	4.711	states/eV/cell
SG	Cmcm, No. 63


# 15
SrPr2MoN4 | GGA-PBE | optimized geometry

Cell lengths 6.493, 6.493, 12.551 Å; angles 90.00, 90.00, 147.88 degrees
Fractional positions:
Sr1 0.092 0.908 0.750
Sr2 0.908 0.092 0.250
Pr1 0.370 0.630 0.538
Pr2 0.370 0.630 0.962
Pr3 0.630 0.370 0.038
Pr4 0.630 0.370 0.462
Mo1 0.174 0.826 0.250
Mo2 0.826 0.174 0.750
N1 0.000 0.000 0.000
N2 0.000 0.000 0.500
N3 0.263 0.737 0.128
N4 0.263 0.737 0.372
N5 0.405 0.595 0.750
N6 0.595 0.405 0.250
N7 0.737 0.263 0.628
N8 0.737 0.263 0.872

Summary:
Fermi-level density of states	10.011	states/eV/cell
SG	Cmcm, No. 63


# 16
Sr2PrMoN4 | GGA-PBE | optimized geometry

Cell lengths 7.794, 7.123, 5.604 Å; angles 90.00, 90.00, 90.00 degrees
Fractional positions:
Sr1 0.249 0.158 0.000
Sr2 0.251 0.842 0.500
Sr3 0.749 0.842 0.500
Sr4 0.751 0.158 0.000
Pr1 0.000 0.647 0.008
Pr2 0.500 0.353 0.508
Mo1 0.000 0.340 0.538
Mo2 0.500 0.660 0.038
N1 0.000 0.343 0.871
N2 0.000 0.601 0.449
N3 0.208 0.213 0.459
N4 0.292 0.787 0.959
N5 0.500 0.399 0.949
N6 0.500 0.657 0.371
N7 0.708 0.787 0.959
N8 0.792 0.213 0.459

Summary:
Fermi-level density of states	4.776	states/eV/cell
SG	Pmn2_1, No. 31


| no. | E_form (uncorrected) (meV/atom) |
| --- | --- |
| 1 | -1028 |
| 2 | -692 |
| 3 | -976 |
| 4 | -663 |
| 5 | -962 |
| 6 | -655 |
| 7 | -913 |
| 8 | -750 |
| 9 | -842 |
| 10 | -1029 |
| 11 | -824 |
| 12 | -964 |
| 13 | -900 |
| 14 | -1028 |
| 15 | -888 |
| 16 | -877 |